First-principles (GGA-PBE) data for a relaxed CaMgSbSe2 crystal, as listed in Alexandria.

a = 5.6126 Å, b = 5.6126 Å, c = 5.1546 Å
α = 90.00°, β = 90.00°, γ = 90.00°
Closest atoms and distances in Å follow each position.
Positions (direct):
1 Ca 0.0000 0.0000 0.0000  8 Se 3.81, 4 Mg 3.97
2 Mg 0.5000 0.5000 0.0000  2 Sb 2.58
3 Sb 0.5000 0.5000 0.5000  2 Mg 2.58, 4 Se 2.81
4 Se 0.0000 0.5000 0.5000  2 Sb 2.81
5 Se 0.5000 0.0000 0.5000  2 Sb 2.81

Computed properties:
**Symmetry**: P4/mmm, No. 123
**Formation energy without anion corrections**: -0.249 eV per atom
**DOS(E_F)**: 1.3 states/eV per cell